The following is a PBE calculation of a relaxed MgTcHIr2 crystal, from Alexandria via LeMat-Bulk.

Lattice parameters (Å, degrees): 4.8648 2.9136 4.8648 90.00 90.00 90.00
With the nearest neighbours (Å) after each atom.
Fractional coordinates of all 5 atoms:
H1 0.0000 0.5000 0.0000  2 Mg 1.46
Mg1 0.0000 0.0000 0.0000  2 H 1.46
Ir1 0.0000 0.0000 0.5000  2 Mg 2.43
Ir2 0.5000 0.0000 0.0000  2 Mg 2.43
Tc1 0.5000 0.5000 0.5000  8 Ir 2.84, 2 Tc 2.91

***

The following is a PBE calculation of a relaxed Mg2TcHIr crystal, from Alexandria via LeMat-Bulk.

Lattice parameters (Å, degrees): 4.1697 4.1697 3.7557 90.00 90.00 90.00
With the nearest neighbours (Å) after each atom.
Fractional coordinates of all 5 atoms:
H1 0.0000 0.0000 0.0000  2 Tc 1.88, 4 Mg 2.08
Mg1 0.0000 0.5000 0.0000  2 H 2.08
Mg2 0.5000 0.0000 0.0000  2 H 2.08
Ir1 0.5000 0.5000 0.5000  8 Mg 2.81, 4 Tc 2.95
Tc1 0.0000 0.0000 0.5000  2 H 1.88

***

Number 1: VASP energy -5.5258 eV per atom, magnetic moment 0.10 μB per cell. Number 2: VASP energy -5.1100 eV per atom, magnetic moment 1.33 μB per cell.